# 1
Entry from the Alexandria database: a relaxed structure of Tm4Ag3Sn (GGA-PBE).

a b c (Å): 7.201 7.213 14.695
angles (deg): 90.00 90.00 90.00
Space group Fmmm (No. 69)
Inequivalent atoms, fractional coordinates:
Tm1 0.250 0.250 0.130 x16
Ag1 0.000 0.000 0.000 x4
Ag2 0.000 0.000 0.245 x8
Sn1 0.000 0.000 0.500 x4

Crystal system   orthorhombic
Electronic total energy   -4.23 eV/atom
ΔE_f   -0.422 eV per atom

---

# 2
Entry from the Alexandria database: a relaxed structure of Tm3Ag2Sn (GGA-PBE).

a b c (Å): 5.115 15.464 3.654
angles (deg): 90.00 90.00 90.00
Space group Cmmm (No. 65)
Inequivalent atoms, fractional coordinates:
Tm1 0.000 0.000 0.000 x2
Tm2 0.000 0.330 0.000 x4
Ag1 0.000 0.170 0.500 x4
Sn1 0.000 0.500 0.500 x2

Crystal system   orthorhombic
Electronic total energy   -4.28 eV/atom
ΔE_f   -0.429 eV per atom
Excess energy over the best structure of this formula in the dataset   0.00 eV/f.u.